# BeCoCuAs

BeCoCuAs after structural relaxation (PBE, the Open Quantum Materials Database). Values from VASP.

Computed properties:
ΔE to the lowest computed polymorph = 93 meV/atom
Total DFT energy (no corrections) = -4.62 eV/atom

Structure (Quantum ESPRESSO input):
```
&SYSTEM
  ibrav = 0, nat = 4, ntyp = 4
/
ATOMIC_SPECIES
As 74.92 As.upf
Be 9.01 Be.upf
Co 58.93 Co.upf
Cu 63.55 Cu.upf
CELL_PARAMETERS angstrom
1.577 -3.374 1.519
-1.217 -3.582 -1.368
2.477 -2.246 -2.236
ATOMIC_POSITIONS crystal
As 0.000 0.000 0.000
Be 0.750 0.750 0.750
Co 0.250 0.250 0.250
Cu 0.500 0.500 0.500
```